1.
Crystalline K2PrYS4 at its relaxed geometry. Source: Alexandria, functional GGA-PBE.

## Properties
Final energy: -44.8 eV per cell
E_form (uncorrected): -1.861 eV/atom
SG: P2/m (10)

a b c (Å): 7.1788 4.1437 7.7711
angles (deg): 90.00 107.92 90.00
Fractional coordinates of all 8 atoms:
K (0.0000, 0.0000, 0.0000)
K (0.5000, 0.5000, 0.0000)
Pr (0.0000, 0.5000, 0.5000)
Y (0.5000, 0.0000, 0.5000)
S (0.2445, 0.0000, 0.7071)
S (0.2740, 0.5000, 0.2966)
S (0.7260, 0.5000, 0.7034)
S (0.7555, 0.0000, 0.2929)

2.
Crystalline K2PrZn2S4 at its relaxed geometry. Source: Alexandria, functional GGA-PBE.

## Properties
Final energy: -36.2 eV per cell
E_form (uncorrected): -1.132 eV/atom
SG: C2/m (12)

a b c (Å): 8.1153 8.1153 7.8531
angles (deg): 111.51 111.51 28.67
Fractional coordinates of all 9 atoms:
K (0.1263, 0.1263, 0.0533)
K (0.8737, 0.8737, 0.9467)
Pr (0.0000, 0.0000, 0.5000)
Zn (0.3214, 0.3214, 0.5116)
Zn (0.6786, 0.6786, 0.4884)
S (0.2027, 0.2027, 0.6758)
S (0.4690, 0.4690, 0.7367)
S (0.5310, 0.5310, 0.2633)
S (0.7973, 0.7973, 0.3242)

3.
Crystalline K4Pr3ZrS8 at its relaxed geometry. Source: Alexandria, functional GGA-PBE.

## Properties
Final energy: -87.9 eV per cell
E_form (uncorrected): -1.722 eV/atom
SG: R-3m (166)

a b c (Å): 8.8039 8.8039 8.8039
angles (deg): 55.69 55.69 55.69
Fractional coordinates of all 16 atoms:
K (0.0000, 0.0000, 0.0000)
K (0.0000, 0.5000, 0.5000)
K (0.5000, 0.0000, 0.5000)
K (0.5000, 0.5000, 0.0000)
Pr (0.0000, 0.0000, 0.5000)
Pr (0.0000, 0.5000, 0.0000)
Pr (0.5000, 0.0000, 0.0000)
Zr (0.5000, 0.5000, 0.5000)
S (0.2385, 0.2385, 0.2385)
S (0.2575, 0.7231, 0.7231)
S (0.2769, 0.2769, 0.7425)
S (0.2769, 0.7425, 0.2769)
S (0.7231, 0.2575, 0.7231)
S (0.7231, 0.7231, 0.2575)
S (0.7425, 0.2769, 0.2769)
S (0.7615, 0.7615, 0.7615)